The following is a GGA-PBEsol calculation of a relaxed structure of NiHgTe2, from the Alexandria database.

The calculation puts the magnetization at 0.000 μB/atom. As for the uncorrected formation energy: 0.081 eV/atom.

The space group is Cmmm (No. 65) and the conventional cell measures 3.7047, 5.3343 and 9.5660 Å, with angles of 90.00, 90.00 and 90.00 degrees. Symmetry generates all atoms from Ni at (0.0000, 0.0000, 0.0000), Hg at (0.0000, 0.0000, 0.5000) and Te at (0.0000, 0.5000, 0.1801).

***

The following is a GGA-PBEsol calculation of a relaxed structure of MgCd2Ni, from the Alexandria database.

The calculation puts the magnetization at 0.000 μB/atom. As for the formation energy: -0.03 eV/atom.

The space group is P4/mmm (No. 123) and the conventional cell measures 4.0963, 4.0963 and 3.9985 Å, with angles of 90.00, 90.00 and 90.00 degrees. Symmetry generates all atoms from Mg at (0.0000, 0.0000, 0.0000), Cd at (0.0000, 0.5000, 0.5000) and Ni at (0.5000, 0.5000, 0.0000).

***

The following is a GGA-PBEsol calculation of a relaxed structure of TlNiTe2, from the Alexandria database.

The calculation puts the magnetization at 0.000 μB/atom. As for the uncorrected formation energy: 0.074 eV/atom.

The space group is P4mm (No. 99) and the conventional cell measures 3.1871, 3.1871 and 9.6001 Å, with angles of 90.00, 90.00 and 90.00 degrees. Symmetry generates all atoms from Tl at (0.0000, 0.0000, 0.0000), Ni at (0.5000, 0.5000, 0.2359), Te at (0.0000, 0.0000, 0.3589) and Te at (0.5000, 0.5000, 0.6952).

***

The following is a GGA-PBEsol calculation of a relaxed structure of AlPt2W, from the Alexandria database.

The calculation puts the magnetization at 0.000 μB/atom. As for the formation energy: -0.17 eV/atom.

The space group is Pmmm (No. 47) and the conventional cell measures 2.8560, 4.5315 and 4.6454 Å, with angles of 90.00, 90.00 and 90.00 degrees. Symmetry generates all atoms from Al at (0.0000, 0.0000, 0.0000), Pt at (0.0000, 0.5000, 0.5000), Pt at (0.5000, 0.5000, 0.0000) and W at (0.5000, 0.0000, 0.5000).

***

- Number 3 is which compound?
  TlNiTe2